Entry 1:
DyHoTm2 | Alexandria | PBE-GGA | relaxed; ρ = 9.08 g/cm3; E_form = 0.0244 eV per atom; excess energy over the best structure of this formula in the dataset = 0.022 eV/atom
1.0
4.948 0.000 0.000
0.000 4.959 0.000
0.000 0.000 4.959
Tm Dy Ho
2 1 1
direct
0.000 0.500 0.000
0.000 0.000 0.500
0.500 0.000 0.000
0.500 0.500 0.500

---

Entry 2:
PaFe12Si6 | Alexandria | PBE-GGA | relaxed; ρ = 7.26 g/cm3; uncorrected formation energy = -0.227 eV/atom
1.0
6.561 -0.064 -0.090
-1.688 6.340 -0.090
-1.688 -2.175 5.956
Fe Si Pa
12 6 1
direct
0.576 0.576 0.841
0.576 0.841 0.576
0.876 0.500 0.124
0.159 0.424 0.424
0.876 0.124 0.500
0.500 0.124 0.876
0.424 0.159 0.424
0.124 0.500 0.876
0.124 0.876 0.500
0.841 0.576 0.576
0.424 0.424 0.159
0.500 0.876 0.124
0.251 0.251 0.706
0.749 0.294 0.749
0.706 0.251 0.251
0.749 0.749 0.294
0.251 0.706 0.251
0.294 0.749 0.749
0.000 0.000 0.000